#a
{
  "formula": "HfCuAs3",
  "functional": "GGA-PBE",
  "state": "optimized geometry",
  "n_ef_per_ev_fu": 3.54,
  "magnetic_moment_mub_per_atom": 0.000,
  "lattice_angstrom": [[4.6535, 0.0000, 0.0000], [0.0000, 4.6535, 0.0000], [0.0000, 0.0000, 4.6535]],
  "species": ["Hf", "Cu", "As", "As", "As"],
  "frac_coords": [[0.0000, 0.0000, 0.0000], [0.5000, 0.5000, 0.5000], [0.0000, 0.5000, 0.5000], [0.5000, 0.0000, 0.5000], [0.5000, 0.5000, 0.0000]]
}

#b
{
  "formula": "HfCuAs3",
  "functional": "GGA-PBE",
  "state": "optimized geometry",
  "n_ef_per_ev_fu": 4.36,
  "magnetic_moment_mub_per_atom": 0.000,
  "lattice_angstrom": [[5.1122, 0.0000, 0.0000], [0.0000, 5.1122, 0.0000], [0.0000, 0.0000, 5.1122]],
  "species": ["Hf", "Cu", "As", "As", "As"],
  "frac_coords": [[0.0000, 0.0000, 0.0000], [0.5000, 0.5000, 0.5000], [0.0000, 0.0000, 0.5000], [0.0000, 0.5000, 0.0000], [0.5000, 0.0000, 0.0000]]
}

Short version: #a is the most stable of them.

#a
{
  "formula": "HfCuSn2As",
  "functional": "GGA-PBE",
  "state": "optimized geometry",
  "n_ef_per_ev_fu": 2.65,
  "magnetic_moment_mub_per_atom": 0.000,
  "lattice_angstrom": [[5.5671, 0.0000, 0.0000], [0.0000, 5.5671, 0.0000], [0.0000, 0.0000, 5.0503]],
  "species": ["Hf", "Cu", "Sn", "Sn", "As"],
  "frac_coords": [[0.0000, 0.0000, 0.0000], [0.5000, 0.5000, 0.5000], [0.0000, 0.5000, 0.0000], [0.5000, 0.0000, 0.0000], [0.0000, 0.0000, 0.5000]]
}

#b
{
  "formula": "HfCuSn2As",
  "functional": "GGA-PBE",
  "state": "optimized geometry",
  "n_ef_per_ev_fu": 5.43,
  "magnetic_moment_mub_per_atom": 0.000,
  "lattice_angstrom": [[5.5495, 0.0000, 0.0000], [0.0000, 5.5495, 0.0000], [0.0000, 0.0000, 4.8563]],
  "species": ["Hf", "Cu", "Sn", "Sn", "As"],
  "frac_coords": [[0.0000, 0.0000, 0.0000], [0.0000, 0.0000, 0.5000], [0.0000, 0.5000, 0.0000], [0.5000, 0.0000, 0.0000], [0.5000, 0.5000, 0.5000]]
}

Short version: #a is the most stable of them.

#a
{
  "formula": "Cu2HgAs2",
  "functional": "GGA-PBE",
  "state": "optimized geometry",
  "n_ef_per_ev_fu": 2.26,
  "magnetic_moment_mub_per_atom": 0.000,
  "lattice_angstrom": [[-1.9553, 1.9553, 5.9314], [1.9553, -1.9553, 5.9314], [1.9553, 1.9553, -5.9314]],
  "species": ["Cu", "Cu", "Hg", "As", "As"],
  "frac_coords": [[0.1058, 0.1058, 0.0000], [0.8942, 0.8942, 0.0000], [0.5000, 0.5000, 0.0000], [0.2500, 0.7500, 0.5000], [0.7500, 0.2500, 0.5000]]
}

#b
{
  "formula": "Cu2HgAs2",
  "functional": "GGA-PBE",
  "state": "optimized geometry",
  "n_ef_per_ev_fu": 2.57,
  "magnetic_moment_mub_per_atom": 0.000,
  "lattice_angstrom": [[-2.1199, 2.1199, 5.1669], [2.1199, -2.1199, 5.1669], [2.1199, 2.1199, -5.1669]],
  "species": ["Cu", "Cu", "Hg", "As", "As"],
  "frac_coords": [[0.2500, 0.7500, 0.5000], [0.7500, 0.2500, 0.5000], [0.0000, 0.0000, 0.0000], [0.3763, 0.3763, 0.0000], [0.6237, 0.6237, 0.0000]]
}

Short version: #b is the most stable of them.

#a
{
  "formula": "Cu2HgAs2",
  "functional": "GGA-PBE",
  "state": "optimized geometry",
  "n_ef_per_ev_fu": 1.46,
  "magnetic_moment_mub_per_atom": 0.000,
  "lattice_angstrom": [[8.0343, 0.0000, 0.0000], [0.0000, 8.0343, 0.0000], [0.0000, 0.0000, 2.7477]],
  "species": ["Cu", "Cu", "Cu", "Cu", "Hg", "Hg", "As", "As", "As", "As"],
  "frac_coords": [[0.1512, 0.3488, 0.0000], [0.3488, 0.8488, 0.0000], [0.6512, 0.1512, 0.0000], [0.8488, 0.6512, 0.0000], [0.0000, 0.0000, 0.5000], [0.5000, 0.5000, 0.5000], [0.1415, 0.6415, 0.5000], [0.3585, 0.1415, 0.5000], [0.6415, 0.8585, 0.5000], [0.8585, 0.3585, 0.5000]]
}

#b
{
  "formula": "Cu2HgAs2",
  "functional": "GGA-PBE",
  "state": "optimized geometry",
  "n_ef_per_ev_fu": 1.71,
  "magnetic_moment_mub_per_atom": 0.000,
  "lattice_angstrom": [[8.0672, 0.0000, 0.0000], [0.0000, 8.0672, 0.0000], [0.0000, 0.0000, 2.7148]],
  "species": ["Cu", "Cu", "Cu", "Cu", "Hg", "Hg", "As", "As", "As", "As"],
  "frac_coords": [[0.1486, 0.3514, 0.0000], [0.3514, 0.8514, 0.0000], [0.6486, 0.1486, 0.0000], [0.8514, 0.6486, 0.0000], [0.0000, 0.0000, 0.0000], [0.5000, 0.5000, 0.0000], [0.1420, 0.6420, 0.5000], [0.3580, 0.1420, 0.5000], [0.6420, 0.8580, 0.5000], [0.8580, 0.3580, 0.5000]]
}

Short version: #b is the most stable of them.

#a
{
  "formula": "Li2CuHgAs",
  "functional": "GGA-PBE",
  "state": "optimized geometry",
  "n_ef_per_ev_fu": 0.75,
  "magnetic_moment_mub_per_atom": 0.000,
  "lattice_angstrom": [[4.9899, 0.0000, 0.0000], [0.0000, 4.9899, 0.0000], [0.0000, 0.0000, 4.5191]],
  "species": ["Li", "Li", "Cu", "Hg", "As"],
  "frac_coords": [[0.0000, 0.5000, 0.0000], [0.5000, 0.0000, 0.0000], [0.0000, 0.0000, 0.5000], [0.5000, 0.5000, 0.5000], [0.0000, 0.0000, 0.0000]]
}

#b
{
  "formula": "Li2CuHgAs",
  "functional": "GGA-PBE",
  "state": "optimized geometry",
  "n_ef_per_ev_fu": 1.73,
  "magnetic_moment_mub_per_atom": 0.000,
  "lattice_angstrom": [[4.8382, 0.0000, 0.0000], [0.0000, 4.8382, 0.0000], [0.0000, 0.0000, 5.2118]],
  "species": ["Li", "Li", "Cu", "Hg", "As"],
  "frac_coords": [[0.0000, 0.5000, 0.0000], [0.5000, 0.0000, 0.0000], [0.0000, 0.0000, 0.5000], [0.5000, 0.5000, 0.0000], [0.5000, 0.5000, 0.5000]]
}

Short version: #a is the most stable of them.

#a
{
  "formula": "ZrCu2HgAs",
  "functional": "GGA-PBE",
  "state": "optimized geometry",
  "n_ef_per_ev_fu": 5.03,
  "magnetic_moment_mub_per_atom": 0.000,
  "lattice_angstrom": [[4.4267, 0.0000, 0.0000], [0.0000, 4.4267, 0.0000], [0.0000, 0.0000, 5.3231]],
  "species": ["Zr", "Cu", "Cu", "Hg", "As"],
  "frac_coords": [[0.0000, 0.0000, 0.0000], [0.0000, 0.5000, 0.5000], [0.5000, 0.0000, 0.5000], [0.5000, 0.5000, 0.0000], [0.5000, 0.5000, 0.5000]]
}

#b
{
  "formula": "ZrCu2HgAs",
  "functional": "GGA-PBE",
  "state": "optimized geometry",
  "n_ef_per_ev_fu": 4.81,
  "magnetic_moment_mub_per_atom": 0.077,
  "lattice_angstrom": [[4.9141, 0.0000, 0.0000], [0.0000, 4.9141, 0.0000], [0.0000, 0.0000, 5.4548]],
  "species": ["Zr", "Cu", "Cu", "Hg", "As"],
  "frac_coords": [[0.0000, 0.0000, 0.0000], [0.0000, 0.5000, 0.0000], [0.5000, 0.0000, 0.0000], [0.0000, 0.0000, 0.5000], [0.5000, 0.5000, 0.5000]]
}

Short version: #a is the most stable of them.

#a
{
  "formula": "Cu2AsI6",
  "functional": "GGA-PBE",
  "state": "optimized geometry",
  "n_ef_per_ev_fu": 3.31,
  "magnetic_moment_mub_per_atom": 0.000,
  "lattice_angstrom": [[7.8680, -7.3025, 0.0000], [7.8680, 7.3025, 0.0000], [-2.6881, 0.0000, 7.2485]],
  "species": ["Cu", "Cu", "Cu", "Cu", "As", "As", "I", "I", "I", "I", "I", "I", "I", "I", "I", "I", "I", "I"],
  "frac_coords": [[0.2025, 0.2651, 0.2980], [0.2651, 0.2025, 0.7980], [0.7349, 0.7975, 0.2020], [0.7975, 0.7349, 0.7020], [0.3941, 0.6059, 0.7500], [0.6059, 0.3941, 0.2500], [0.1260, 0.1349, 0.9689], [0.1349, 0.1260, 0.4689], [0.1698, 0.6061, 0.8223], [0.3015, 0.4786, 0.3517], [0.3939, 0.8302, 0.6777], [0.4786, 0.3015, 0.8517], [0.5214, 0.6985, 0.1483], [0.6061, 0.1698, 0.3223], [0.6985, 0.5214, 0.6483], [0.8302, 0.3939, 0.1777], [0.8651, 0.8740, 0.5311], [0.8740, 0.8651, 0.0311]]
}

#b
{
  "formula": "Cu2AsI6",
  "functional": "GGA-PBE",
  "state": "optimized geometry",
  "n_ef_per_ev_fu": 8.62,
  "magnetic_moment_mub_per_atom": 0.000,
  "lattice_angstrom": [[8.5671, -2.0324, 0.0000], [8.5671, 2.0324, 0.0000], [-2.4799, 0.0000, 10.1063]],
  "species": ["Cu", "Cu", "As", "I", "I", "I", "I", "I", "I"],
  "frac_coords": [[0.2022, 0.2022, 0.3881], [0.7978, 0.7978, 0.6119], [0.0000, 0.0000, 0.0000], [0.0513, 0.0513, 0.2897], [0.2114, 0.2114, 0.6511], [0.3841, 0.3841, 0.0208], [0.6159, 0.6159, 0.9792], [0.7886, 0.7886, 0.3489], [0.9487, 0.9487, 0.7103]]
}

Short version: #b is the most stable of them.

#a
{
  "formula": "CuAs2I2",
  "functional": "GGA-PBE",
  "state": "optimized geometry",
  "n_ef_per_ev_fu": 4.25,
  "magnetic_moment_mub_per_atom": 0.000,
  "lattice_angstrom": [[3.3083, -1.9096, 0.0000], [3.3083, 1.9096, 0.0000], [-2.2188, 0.0000, 11.0102]],
  "species": ["Cu", "As", "As", "I", "I"],
  "frac_coords": [[0.0000, 0.0000, 0.0000], [0.1465, 0.1465, 0.4399], [0.8535, 0.8535, 0.5601], [0.2828, 0.2828, 0.8501], [0.7172, 0.7172, 0.1499]]
}

#b
{
  "formula": "CuAs2I2",
  "functional": "GGA-PBE",
  "state": "optimized geometry",
  "n_ef_per_ev_fu": 4.43,
  "magnetic_moment_mub_per_atom": 0.000,
  "lattice_angstrom": [[-1.8792, 1.8792, 9.2537], [1.8792, -1.8792, 9.2537], [1.8792, 1.8792, -9.2537]],
  "species": ["Cu", "As", "As", "I", "I"],
  "frac_coords": [[0.0000, 0.0000, 0.0000], [0.2500, 0.7500, 0.5000], [0.7500, 0.2500, 0.5000], [0.4107, 0.4107, 0.0000], [0.5893, 0.5893, 0.0000]]
}

Short version: #a is the most stable of them.

#a
{
  "formula": "CuAs2I",
  "functional": "GGA-PBE",
  "state": "optimized geometry",
  "n_ef_per_ev_fu": 2.10,
  "magnetic_moment_mub_per_atom": 0.000,
  "lattice_angstrom": [[0.0000, 3.4748, 3.4748], [3.4748, 0.0000, 3.4748], [3.4748, 3.4748, 0.0000]],
  "species": ["Cu", "As", "As", "I"],
  "frac_coords": [[0.0000, 0.0000, 0.0000], [0.2500, 0.2500, 0.2500], [0.7500, 0.7500, 0.7500], [0.5000, 0.5000, 0.5000]]
}

#b
{
  "formula": "CuAs2I",
  "functional": "GGA-PBE",
  "state": "optimized geometry",
  "n_ef_per_ev_fu": 1.76,
  "magnetic_moment_mub_per_atom": 0.000,
  "lattice_angstrom": [[-3.2538, 3.2538, 5.1218], [3.2538, -3.2538, 5.1218], [3.2538, 3.2538, -5.1218]],
  "species": ["Cu", "Cu", "As", "As", "As", "As", "I", "I"],
  "frac_coords": [[0.0000, 0.0000, 0.0000], [0.7500, 0.2500, 0.5000], [0.0354, 0.6250, 0.9104], [0.3750, 0.2854, 0.4104], [0.7146, 0.1250, 0.0896], [0.8750, 0.9646, 0.5896], [0.2500, 0.7500, 0.5000], [0.5000, 0.5000, 0.0000]]
}

Short version: #b is the most stable of them.

#a
{
  "formula": "CuAsI4",
  "functional": "GGA-PBE",
  "state": "optimized geometry",
  "n_ef_per_ev_fu": 0.32,
  "magnetic_moment_mub_per_atom": 0.000,
  "lattice_angstrom": [[7.2664, 0.0000, 0.0000], [0.0000, 4.0634, 0.0000], [-0.4767, 0.0000, 7.3136]],
  "species": ["Cu", "As", "I", "I", "I", "I"],
  "frac_coords": [[0.0000, 0.0000, 0.0000], [0.0000, 0.5000, 0.5000], [0.2075, 0.5000, 0.1757], [0.2432, 0.0000, 0.6643], [0.7568, 0.0000, 0.3357], [0.7925, 0.5000, 0.8243]]
}

#b
{
  "formula": "CuAsI4",
  "functional": "GGA-PBE",
  "state": "optimized geometry",
  "n_ef_per_ev_fu": 2.83,
  "magnetic_moment_mub_per_atom": 0.000,
  "lattice_angstrom": [[5.9969, -4.2194, 0.0000], [5.9969, 4.2194, 0.0000], [-0.0039, 0.0000, 8.4518]],
  "species": ["Cu", "Cu", "As", "As", "I", "I", "I", "I", "I", "I", "I", "I"],
  "frac_coords": [[0.0978, 0.9022, 0.7500], [0.9022, 0.0978, 0.2500], [0.0000, 0.5000, 0.5000], [0.5000, 0.0000, 0.0000], [0.2032, 0.2232, 0.2483], [0.2232, 0.2032, 0.7483], [0.2549, 0.7142, 0.4940], [0.2858, 0.7451, 0.0060], [0.7142, 0.2549, 0.9940], [0.7451, 0.2858, 0.5060], [0.7768, 0.7968, 0.2517], [0.7968, 0.7768, 0.7517]]
}

Short version: #a is the most stable of them.

#a
{
  "formula": "Cu2AsI",
  "functional": "GGA-PBE",
  "state": "optimized geometry",
  "n_ef_per_ev_fu": 2.38,
  "magnetic_moment_mub_per_atom": 0.000,
  "lattice_angstrom": [[0.0000, 3.3413, 3.3413], [3.3413, 0.0000, 3.3413], [3.3413, 3.3413, 0.0000]],
  "species": ["Cu", "Cu", "As", "I"],
  "frac_coords": [[0.2500, 0.2500, 0.2500], [0.7500, 0.7500, 0.7500], [0.0000, 0.0000, 0.0000], [0.5000, 0.5000, 0.5000]]
}

#b
{
  "formula": "Cu2AsI",
  "functional": "GGA-PBE",
  "state": "optimized geometry",
  "n_ef_per_ev_fu": 3.18,
  "magnetic_moment_mub_per_atom": 0.000,
  "lattice_angstrom": [[2.0672, 1.1935, 6.3076], [-2.0672, 1.1935, 6.3076], [0.0000, -2.3870, 6.3076]],
  "species": ["Cu", "Cu", "As", "I"],
  "frac_coords": [[0.1380, 0.1380, 0.1380], [0.8620, 0.8620, 0.8620], [0.5000, 0.5000, 0.5000], [0.0000, 0.0000, 0.0000]]
}

Short version: #b is the most stable of them.

#a
{
  "formula": "CuAsIO2",
  "functional": "GGA-PBE",
  "state": "optimized geometry",
  "n_ef_per_ev_fu": 1.56,
  "magnetic_moment_mub_per_atom": 0.000,
  "lattice_angstrom": [[3.7740, 0.0000, 0.0000], [0.0000, 3.7740, 0.0000], [0.0000, 0.0000, 6.7179]],
  "species": ["Cu", "As", "I", "O", "O"],
  "frac_coords": [[0.0000, 0.0000, 0.0000], [0.5000, 0.5000, 0.5000], [0.5000, 0.5000, 0.0000], [0.0000, 0.5000, 0.5000], [0.5000, 0.0000, 0.5000]]
}

#b
{
  "formula": "CuAsIO2",
  "functional": "GGA-PBE",
  "state": "optimized geometry",
  "n_ef_per_ev_fu": 4.11,
  "magnetic_moment_mub_per_atom": 0.113,
  "lattice_angstrom": [[4.0053, 0.0000, 0.0000], [0.0000, 4.0053, 0.0000], [0.0000, 0.0000, 5.1153]],
  "species": ["Cu", "As", "I", "O", "O"],
  "frac_coords": [[0.0000, 0.0000, 0.0000], [0.5000, 0.5000, 0.5000], [0.0000, 0.0000, 0.5000], [0.0000, 0.5000, 0.0000], [0.5000, 0.0000, 0.0000]]
}

Short version: #a is the most stable of them.

#a
{
  "formula": "CuAsI2O",
  "functional": "GGA-PBE",
  "state": "optimized geometry",
  "n_ef_per_ev_fu": 0.80,
  "magnetic_moment_mub_per_atom": 0.000,
  "lattice_angstrom": [[5.7522, 0.0000, 0.0000], [0.0000, 5.7522, 0.0000], [0.0000, 0.0000, 3.8007]],
  "species": ["Cu", "As", "I", "I", "O"],
  "frac_coords": [[0.0000, 0.0000, 0.0000], [0.5000, 0.5000, 0.5000], [0.0000, 0.5000, 0.5000], [0.5000, 0.0000, 0.5000], [0.5000, 0.5000, 0.0000]]
}

#b
{
  "formula": "CuAsI2O",
  "functional": "GGA-PBE",
  "state": "optimized geometry",
  "n_ef_per_ev_fu": 5.56,
  "magnetic_moment_mub_per_atom": 0.177,
  "lattice_angstrom": [[5.5676, 0.0000, 0.0000], [0.0000, 5.5676, 0.0000], [0.0000, 0.0000, 3.6287]],
  "species": ["Cu", "As", "I", "I", "O"],
  "frac_coords": [[0.0000, 0.0000, 0.0000], [0.5000, 0.5000, 0.5000], [0.0000, 0.5000, 0.0000], [0.5000, 0.0000, 0.0000], [0.0000, 0.0000, 0.5000]]
}

Short version: #a is the most stable of them.